# 1
Compound: PtW2Cl
Source: the Alexandria database
Functional: PBE
Structure: optimized geometry

POSCAR file:
```
PtW2Cl
1.0
-3.1476 0.1330 2.9647
-0.7108 -0.0785 4.2665
-0.0314 5.6398 0.9749
Cl Pt W
1 1 2
Direct
0.7500 0.7500 0.7500 Cl
0.2500 0.2500 0.2500 Pt
0.9985 0.9985 0.9862 W
0.5015 0.5015 0.5138 W
```

## Properties
E above lowest polymorph	412	meV/atom
formation energy (no corrections)	582	meV per atom
calculated total energy	-31.47	eV for the cell shown


# 2
Compound: Pt2WCl
Source: the Alexandria database
Functional: PBE
Structure: optimized geometry

POSCAR file:
```
Pt2WCl
1.0
4.4807 0.0000 0.0000
2.2404 3.8804 0.0000
2.2404 1.2935 3.6585
Cl Pt W
1 2 1
Direct
0.5000 0.5000 0.5000 Cl
0.0000 0.0000 0.0000 Pt
0.2500 0.2500 0.2500 Pt
0.7500 0.7500 0.7500 W
```

## Properties
E above lowest polymorph	592	meV/atom
formation energy (no corrections)	516	meV per atom
calculated total energy	-24.82	eV for the cell shown


# 3
Compound: Pt2WCl
Source: the Alexandria database
Functional: PBE
Structure: optimized geometry

POSCAR file:
```
Pt2WCl
1.0
-4.8321 3.9898 1.6165
0.7257 -1.6403 6.2180
0.7455 4.3565 4.4299
W Pt Cl
2 4 2
Direct
0.0000 0.0000 0.0000 W
0.7500 0.2500 0.5000 W
0.6483 0.1250 0.2500 Pt
0.1017 0.6250 0.2500 Pt
0.3750 0.3517 0.7500 Pt
0.8750 0.8983 0.7500 Pt
0.5000 0.5000 0.0000 Cl
0.2500 0.7500 0.5000 Cl
```

## Properties
E above lowest polymorph	666	meV/atom
formation energy (no corrections)	590	meV per atom
calculated total energy	-49.04	eV for the cell shown


# 4
Compound: Pt2WCl
Source: the Alexandria database
Functional: PBE
Structure: optimized geometry

POSCAR file:
```
Pt2WCl
1.0
-3.7641 -1.5168 4.8486
-5.1230 -3.7035 0.1301
6.1335 1.2278 -0.9221
Cl Pt W
1 2 1
Direct
0.6719 0.1719 0.5000 Cl
0.0493 0.0493 0.0000 Pt
0.2965 0.7965 0.5000 Pt
0.4823 0.4823 0.0000 W
```

## Properties
E above lowest polymorph	384	meV/atom
formation energy (no corrections)	307	meV per atom
calculated total energy	-25.65	eV for the cell shown


# 5
Compound: PtW2Cl
Source: the Alexandria database
Functional: PBE
Structure: optimized geometry

POSCAR file:
```
PtW2Cl
1.0
-1.4714 -0.4726 -2.3080
4.0222 -2.5111 -2.0500
-1.5656 -3.9894 1.8150
Cl Pt W
1 1 2
Direct
0.5000 0.0000 0.5000 Cl
0.0000 0.5000 0.5000 Pt
0.0000 0.0000 0.0000 W
0.5000 0.5000 0.0000 W
```

## Properties
E above lowest polymorph	712	meV/atom
formation energy (no corrections)	882	meV per atom
calculated total energy	-30.26	eV for the cell shown


# 6
Compound: Pt2WCl
Source: the Alexandria database
Functional: PBE
Structure: optimized geometry

POSCAR file:
```
Pt2WCl
1.0
6.2084 -0.0014 0.0166
5.5870 2.7073 0.0166
1.6021 0.3675 4.1679
Cl Pt W
1 2 1
Direct
0.2500 0.2500 0.2500 Cl
0.0461 0.0461 0.9540 Pt
0.4539 0.4539 0.5460 Pt
0.7500 0.7500 0.7500 W
```

## Properties
E above lowest polymorph	508	meV/atom
formation energy (no corrections)	432	meV per atom
calculated total energy	-25.15	eV for the cell shown


# 7
Compound: PtWCl3
Source: the Alexandria database
Functional: PBE
Structure: optimized geometry

POSCAR file:
```
PtWCl3
1.0
4.7364 0.0000 0.0000
0.0000 4.7364 0.0000
0.0000 0.0000 4.7364
W Pt Cl
1 1 3
Direct
0.0000 0.0000 0.0000 W
0.5000 0.5000 0.5000 Pt
0.0000 0.5000 0.0000 Cl
0.0000 0.0000 0.5000 Cl
0.5000 0.0000 0.0000 Cl
```

## Properties
E above lowest polymorph	0	meV/atom
formation energy (no corrections)	737	meV per atom
calculated total energy	-20.85	eV for the cell shown


# 8
Compound: Pt2WCl
Source: the Alexandria database
Functional: PBE
Structure: optimized geometry

POSCAR file:
```
Pt2WCl
1.0
-2.1142 -0.6775 -1.8308
-1.7994 -0.3701 2.2149
-2.2773 8.3400 -0.4566
Cl Pt W
1 2 1
Direct
0.5000 0.5000 0.6768 Cl
0.0000 0.0000 0.0522 Pt
0.5000 0.5000 0.2850 Pt
0.0000 0.0000 0.4860 W
```

## Properties
E above lowest polymorph	224	meV/atom
formation energy (no corrections)	148	meV per atom
calculated total energy	-26.29	eV for the cell shown


# 9
Compound: Pt2WCl
Source: the Alexandria database
Functional: PBE
Structure: optimized geometry

POSCAR file:
```
Pt2WCl
1.0
0.0000 3.2153 3.2153
3.2153 0.0000 3.2153
3.2153 3.2153 0.0000
W Pt Cl
1 2 1
Direct
0.5000 0.5000 0.5000 W
0.2500 0.2500 0.2500 Pt
0.7500 0.7500 0.7500 Pt
0.0000 0.0000 0.0000 Cl
```

## Properties
E above lowest polymorph	803	meV/atom
formation energy (no corrections)	727	meV per atom
calculated total energy	-23.97	eV for the cell shown


# 10
Compound: Pt2WCl
Source: the Alexandria database
Functional: PBE
Structure: optimized geometry

POSCAR file:
```
Pt2WCl
1.0
-2.2231 -0.0976 -1.8040
0.5451 -2.1836 1.7723
-5.8264 4.1892 6.9534
Cl Pt W
1 2 1
Direct
0.5000 0.5000 0.7009 Cl
0.0000 0.0000 0.0285 Pt
0.5000 0.5000 0.2722 Pt
0.0000 0.0000 0.4984 W
```

## Properties
E above lowest polymorph	353	meV/atom
formation energy (no corrections)	276	meV per atom
calculated total energy	-25.78	eV for the cell shown


# 11
Compound: Pt2WCl
Source: the Alexandria database
Functional: PBE
Structure: optimized geometry

POSCAR file:
```
Pt2WCl
1.0
-1.5795 0.3369 3.1205
1.0831 -2.6278 0.8320
6.0611 3.3081 2.7108
Cl Pt W
1 2 1
Direct
0.5000 0.7453 0.6925 Cl
0.0000 0.7543 0.0781 Pt
0.5000 0.2514 0.2778 Pt
0.0000 0.7490 0.4516 W
```

## Properties
E above lowest polymorph	145	meV/atom
formation energy (no corrections)	69	meV per atom
calculated total energy	-26.60	eV for the cell shown


# 12
Compound: YPtCl2
Source: the Alexandria database
Functional: PBE
Structure: optimized geometry

POSCAR file:
```
YPtCl2
1.0
9.9012 -0.0169 -0.0100
9.3223 3.3360 -0.0100
9.3223 1.6095 2.9220
Y Pt Cl
1 1 2
Direct
0.7500 0.7500 0.7500 Y
0.2500 0.2500 0.2500 Pt
0.0211 0.0211 0.0211 Cl
0.4789 0.4789 0.4789 Cl
```

## Properties
E above lowest polymorph	579	meV/atom
formation energy (no corrections)	-580	meV per atom
calculated total energy	-18.52	eV for the cell shown


# 13
Compound: Y3PtCl3
Source: the Alexandria database
Functional: PBE
Structure: optimized geometry

POSCAR file:
```
Y3PtCl3
1.0
-2.8460 -6.0556 -1.0366
3.7466 -5.1542 -2.2895
2.5430 -6.4739 8.7237
Y Pt Cl
6 2 6
Direct
0.9465 0.2883 0.1605 Y
0.6047 0.9465 0.1605 Y
0.2883 0.6047 0.1605 Y
0.7117 0.3953 0.8395 Y
0.3953 0.0535 0.8395 Y
0.0535 0.7117 0.8395 Y
0.6667 0.6667 0.0000 Pt
0.3333 0.3333 0.0000 Pt
0.2168 0.8917 0.3243 Cl
0.5672 0.2168 0.3243 Cl
0.8917 0.5672 0.3243 Cl
0.1083 0.4328 0.6757 Cl
0.4328 0.7832 0.6757 Cl
0.7832 0.1083 0.6757 Cl
```

## Properties
formation energy (no corrections)	-1640	meV per atom
calculated total energy	-84.91	eV for the cell shown


# 14
Compound: Y2PtCl
Source: the Alexandria database
Functional: PBE
Structure: optimized geometry

POSCAR file:
```
Y2PtCl
1.0
0.0000 3.5607 3.5607
3.5607 0.0000 3.5607
3.5607 3.5607 0.0000
Y Pt Cl
2 1 1
Direct
0.2500 0.2500 0.2500 Y
0.7500 0.7500 0.7500 Y
0.5000 0.5000 0.5000 Pt
0.0000 0.0000 0.0000 Cl
```

## Properties
E above lowest polymorph	355	meV/atom
formation energy (no corrections)	-989	meV per atom
calculated total energy	-24.77	eV for the cell shown


# 15
Compound: Y2PtCl
Source: the Alexandria database
Functional: PBE
Structure: optimized geometry

POSCAR file:
```
Y2PtCl
1.0
-1.9490 -2.8330 -0.2459
2.2551 -1.7447 2.2280
-4.3090 2.4212 6.2593
Cl Pt Y
1 1 2
Direct
0.5000 0.2500 0.2500 Cl
0.5000 0.7500 0.7500 Pt
0.0000 0.2501 0.9579 Y
0.0000 0.2499 0.5421 Y
```

## Properties
E above lowest polymorph	79	meV/atom
formation energy (no corrections)	-1265	meV per atom
calculated total energy	-25.88	eV for the cell shown


# 16
Compound: Y2PtCl
Source: the Alexandria database
Functional: PBE
Structure: optimized geometry

POSCAR file:
```
Y2PtCl
1.0
4.0403 0.0000 0.0000
2.0202 3.4990 0.0000
2.0202 1.1663 7.5704
Y Pt Cl
2 1 1
Direct
0.0689 0.0689 0.7932 Y
0.2682 0.2682 0.1955 Y
0.6680 0.6680 0.9959 Pt
0.4949 0.4949 0.5154 Cl
```

## Properties
E above lowest polymorph	47	meV/atom
formation energy (no corrections)	-1297	meV per atom
calculated total energy	-26.01	eV for the cell shown


# 17
Compound: YPtCl4
Source: the Alexandria database
Functional: PBE
Structure: optimized geometry

POSCAR file:
```
YPtCl4
1.0
4.9046 -1.4686 2.4830
0.0528 -1.6299 5.4514
0.9965 -5.4412 1.3331
Y Pt Cl
1 1 4
Direct
0.0000 0.0000 0.0000 Y
0.7500 0.7500 0.7500 Pt
0.3752 0.8744 0.3752 Cl
0.8744 0.3752 0.3752 Cl
0.3752 0.3752 0.8744 Cl
0.3752 0.3752 0.3752 Cl
```

## Properties
formation energy (no corrections)	127	meV per atom
calculated total energy	-19.13	eV for the cell shown


# 18
Compound: YPtCl2
Source: the Alexandria database
Functional: PBE
Structure: optimized geometry

POSCAR file:
```
YPtCl2
1.0
-3.1833 -4.6683 4.0224
-1.7637 -6.5932 1.2349
3.8366 -0.6164 2.3797
Y Pt Cl
1 1 2
Direct
0.2500 0.2500 0.2500 Y
0.7500 0.7500 0.7500 Pt
0.8954 0.8954 0.0311 Cl
0.6046 0.6046 0.4689 Cl
```

## Properties
E above lowest polymorph	30	meV/atom
formation energy (no corrections)	-1129	meV per atom
calculated total energy	-20.71	eV for the cell shown


# 19
Compound: Y2PtCl
Source: the Alexandria database
Functional: PBE
Structure: optimized geometry

POSCAR file:
```
Y2PtCl
1.0
5.8383 0.0000 0.0000
0.0000 4.0166 0.0003
0.0000 -0.0007 4.0195
Cl Pt Y
1 1 2
Direct
0.0000 0.3752 0.3750 Cl
0.5000 0.8750 0.8750 Pt
0.0000 0.8749 0.8750 Y
0.5000 0.3750 0.3750 Y
```

## Properties
E above lowest polymorph	97	meV/atom
formation energy (no corrections)	-1247	meV per atom
calculated total energy	-25.80	eV for the cell shown


# 20
Compound: YPt2Cl
Source: the Alexandria database
Functional: PBE
Structure: optimized geometry

POSCAR file:
```
YPt2Cl
1.0
-4.8179 -1.4560 1.2963
0.2793 -3.0241 -2.3586
1.4150 -2.1167 2.8815
Cl Pt Y
1 2 1
Direct
0.5000 0.0000 0.5000 Cl
0.0000 0.0000 0.0000 Pt
0.0000 0.5000 0.5000 Pt
0.5000 0.5000 0.0000 Y
```

## Properties
E above lowest polymorph	180	meV/atom
formation energy (no corrections)	-789	meV per atom
calculated total energy	-23.55	eV for the cell shown